Density functional theory data (PBE-GGA) for a geometry-optimized SrCu2Ru structure.

CIF file:
```
data_SrCu2Ru
_cell_length_a 4.2807
_cell_length_b 4.2807
_cell_length_c 15.8323
_cell_angle_alpha 90.00
_cell_angle_beta 90.00
_cell_angle_gamma 120.00
_space_group_name_H-M_alt 'R 3 m'
_space_group_IT_number 160
_space_group_name_Hall 'R 3 -2"'
loop_
_atom_site_label
_atom_site_type_symbol
_atom_site_fract_x
_atom_site_fract_y
_atom_site_fract_z
_atom_site_occupancy
Sr1 Sr 0.0000 0.0000 0.0000 1
Cu1 Cu 0.0000 0.0000 0.5074 1
Cu2 Cu 0.0000 0.0000 0.8133 1
Ru1 Ru 0.0000 0.0000 0.1865 1
```

relative energy among the computed polymorphs: 0.057 eV/f.u.
N(E_F): 3.85 states/eV/f.u.
electronic total energy: -4.618 eV per atom
magnetization: 0.24 μB/cell
DFT formation energy: 0.169 eV per atom



Density functional theory data (PBE-GGA) for a geometry-optimized SrCuRu4 structure.

CIF file:
```
data_SrCuRu4
_cell_length_a 7.485
_cell_length_b 7.485
_cell_length_c 7.485
_cell_angle_alpha 90.00
_cell_angle_beta 90.00
_cell_angle_gamma 90.00
_space_group_name_H-M_alt 'F -4 3 m'
_space_group_IT_number 216
_space_group_name_Hall 'F -4 2 3'
loop_
_atom_site_label
_atom_site_type_symbol
_atom_site_fract_x
_atom_site_fract_y
_atom_site_fract_z
_atom_site_occupancy
Sr1 Sr 0.000 0.000 0.000 1
Cu1 Cu 0.250 0.250 0.750 1
Ru1 Ru 0.124 0.124 0.376 1
```

N(E_F): 8.49 states/eV/f.u.
electronic total energy: -6.538 eV per atom
magnetization: 12.63 μB/cell
DFT formation energy: 0.609 eV per atom



Density functional theory data (PBE-GGA) for a geometry-optimized Sr2CuRu2 structure.

CIF file:
```
data_Sr2CuRu2
_cell_length_a 6.794
_cell_length_b 6.794
_cell_length_c 4.831
_cell_angle_alpha 90.00
_cell_angle_beta 90.00
_cell_angle_gamma 90.00
_space_group_name_H-M_alt 'P 4/m b m'
_space_group_IT_number 127
_space_group_name_Hall '-P 4 2ab'
loop_
_atom_site_label
_atom_site_type_symbol
_atom_site_fract_x
_atom_site_fract_y
_atom_site_fract_z
_atom_site_occupancy
Sr1 Sr 0.182 0.318 0.000 1
Cu1 Cu 0.000 0.000 0.500 1
Ru1 Ru 0.124 0.624 0.500 1
```

N(E_F): 1.67 states/eV/f.u.
electronic total energy: -4.829 eV per atom
magnetization: 1.92 μB/cell
DFT formation energy: 0.373 eV per atom



Density functional theory data (PBE-GGA) for a geometry-optimized Sr2CuRu structure.

CIF file:
```
data_Sr2CuRu
_cell_length_a 3.535
_cell_length_b 3.535
_cell_length_c 8.671
_cell_angle_alpha 90.00
_cell_angle_beta 90.00
_cell_angle_gamma 90.00
_space_group_name_H-M_alt 'P 4 m m'
_space_group_IT_number 99
loop_
_space_group_symop_operation_xyz
'x,y,z'
'-y,x,z'
'-x,-y,z'
'y,-x,z'
'-x,y,z'
'y,x,z'
'x,-y,z'
'-y,-x,z'
loop_
_atom_site_label
_atom_site_type_symbol
_atom_site_fract_x
_atom_site_fract_y
_atom_site_fract_z
_atom_site_occupancy
Sr1 Sr 0.000 0.000 0.000 1
Sr2 Sr 0.500 0.500 0.431 1
Cu1 Cu 0.000 0.000 0.670 1
Ru1 Ru 0.500 0.500 0.757 1
```

N(E_F): 3.11 states/eV/f.u.
electronic total energy: -3.863 eV per atom
magnetization: 0.00 μB/cell
DFT formation energy: 0.321 eV per atom



Density functional theory data (PBE-GGA) for a geometry-optimized SrCu2Ru structure.

CIF file:
```
data_SrCu2Ru
_cell_length_a 3.189
_cell_length_b 3.189
_cell_length_c 7.116
_cell_angle_alpha 90.00
_cell_angle_beta 90.00
_cell_angle_gamma 90.00
_space_group_name_H-M_alt 'P 4 m m'
_space_group_IT_number 99
loop_
_space_group_symop_operation_xyz
'x,y,z'
'-y,x,z'
'-x,-y,z'
'y,-x,z'
'-x,y,z'
'y,x,z'
'x,-y,z'
'-y,-x,z'
loop_
_atom_site_label
_atom_site_type_symbol
_atom_site_fract_x
_atom_site_fract_y
_atom_site_fract_z
_atom_site_occupancy
Sr1 Sr 0.000 0.000 0.000 1
Cu1 Cu 0.000 0.000 0.493 1
Cu2 Cu 0.500 0.500 0.326 1
Ru1 Ru 0.500 0.500 0.686 1
```

relative energy among the computed polymorphs: 1.157 eV/f.u.
N(E_F): 3.80 states/eV/f.u.
electronic total energy: -4.343 eV per atom
magnetization: 1.22 μB/cell
DFT formation energy: 0.444 eV per atom



Density functional theory data (PBE-GGA) for a geometry-optimized SrCu2Ru structure.

CIF file:
```
data_SrCu2Ru
_cell_length_a 4.2607
_cell_length_b 4.2607
_cell_length_c 15.6525
_cell_angle_alpha 90.00
_cell_angle_beta 90.00
_cell_angle_gamma 120.00
_space_group_name_H-M_alt 'R -3 m'
_space_group_IT_number 166
_space_group_name_Hall '-R 3 2"'
loop_
_atom_site_label
_atom_site_type_symbol
_atom_site_fract_x
_atom_site_fract_y
_atom_site_fract_z
_atom_site_occupancy
Sr1 Sr 0.0000 0.0000 0.0000 1
Cu1 Cu 0.0000 0.0000 0.1922 1
Ru1 Ru 0.0000 0.0000 0.5000 1
```

relative energy among the computed polymorphs: 0.000 eV/f.u.
N(E_F): 3.91 states/eV/f.u.
electronic total energy: -4.633 eV per atom
magnetization: 0.01 μB/cell
DFT formation energy: 0.155 eV per atom



Density functional theory data (PBE-GGA) for a geometry-optimized SrCu2Ru structure.

CIF file:
```
data_SrCu2Ru
_cell_length_a 3.141
_cell_length_b 4.825
_cell_length_c 9.362
_cell_angle_alpha 90.00
_cell_angle_beta 90.00
_cell_angle_gamma 90.00
_space_group_name_H-M_alt 'I m m 2'
_space_group_IT_number 44
loop_
_space_group_symop_operation_xyz
'x,y,z'
'-x,-y,z'
'-x,y,z'
'x,-y,z'
'x+1/2,y+1/2,z+1/2'
'-x+1/2,-y+1/2,z+1/2'
'-x+1/2,y+1/2,z+1/2'
'x+1/2,-y+1/2,z+1/2'
loop_
_atom_site_label
_atom_site_type_symbol
_atom_site_fract_x
_atom_site_fract_y
_atom_site_fract_z
_atom_site_occupancy
Sr1 Sr 0.000 0.000 0.000 1
Cu1 Cu 0.000 0.000 0.492 1
Cu2 Cu 0.000 0.500 0.778 1
Ru1 Ru 0.000 0.500 0.217 1
```

relative energy among the computed polymorphs: 1.417 eV/f.u.
N(E_F): 3.38 states/eV/f.u.
electronic total energy: -4.278 eV per atom
magnetization: 1.75 μB/cell
DFT formation energy: 0.509 eV per atom



Density functional theory data (PBE-GGA) for a geometry-optimized Sr2CuRu structure.

CIF file:
```
data_Sr2CuRu
_cell_length_a 8.072
_cell_length_b 8.072
_cell_length_c 6.329
_cell_angle_alpha 90.00
_cell_angle_beta 90.00
_cell_angle_gamma 90.00
_space_group_name_H-M_alt 'I -4 2 d'
_space_group_IT_number 122
_space_group_name_Hall 'I -4 2bw'
loop_
_atom_site_label
_atom_site_type_symbol
_atom_site_fract_x
_atom_site_fract_y
_atom_site_fract_z
_atom_site_occupancy
Sr1 Sr 0.243 0.750 0.125 1
Cu1 Cu 0.000 0.000 0.500 1
Ru1 Ru 0.000 0.000 0.000 1
```

N(E_F): 4.82 states/eV/f.u.
electronic total energy: -3.517 eV per atom
magnetization: 1.60 μB/cell
DFT formation energy: 0.667 eV per atom



Density functional theory data (PBE-GGA) for a geometry-optimized SrCu2Ru structure.

CIF file:
```
data_SrCu2Ru
_cell_length_a 4.040
_cell_length_b 4.040
_cell_length_c 8.659
_cell_angle_alpha 90.00
_cell_angle_beta 90.00
_cell_angle_gamma 90.00
_space_group_name_H-M_alt 'I -4 m 2'
_space_group_IT_number 119
_space_group_name_Hall 'I -4 -2'
loop_
_atom_site_label
_atom_site_type_symbol
_atom_site_fract_x
_atom_site_fract_y
_atom_site_fract_z
_atom_site_occupancy
Sr1 Sr 0.000 0.000 0.000 1
Cu1 Cu 0.000 0.000 0.500 1
Cu2 Cu 0.000 0.500 0.750 1
Ru1 Ru 0.000 0.500 0.250 1
```

relative energy among the computed polymorphs: 1.621 eV/f.u.
N(E_F): 2.47 states/eV/f.u.
electronic total energy: -4.227 eV per atom
magnetization: 0.19 μB/cell
DFT formation energy: 0.560 eV per atom



Density functional theory data (PBE-GGA) for a geometry-optimized SrCu2Ru structure.

CIF file:
```
data_SrCu2Ru
_cell_length_a 3.164
_cell_length_b 4.071
_cell_length_c 6.009
_cell_angle_alpha 90.00
_cell_angle_beta 105.15
_cell_angle_gamma 90.00
_space_group_name_H-M_alt 'P 1 m 1'
_space_group_IT_number 6
loop_
_space_group_symop_operation_xyz
'x,y,z'
'x,-y,z'
loop_
_atom_site_label
_atom_site_type_symbol
_atom_site_fract_x
_atom_site_fract_y
_atom_site_fract_z
_atom_site_occupancy
Sr1 Sr 0.000 0.000 0.000 1
Cu1 Cu 0.636 0.500 0.274 1
Cu2 Cu 0.753 0.000 0.511 1
Ru1 Ru 0.306 0.500 0.616 1
```

relative energy among the computed polymorphs: 1.062 eV/f.u.
N(E_F): 3.47 states/eV/f.u.
electronic total energy: -4.367 eV per atom
magnetization: 0.19 μB/cell
DFT formation energy: 0.420 eV per atom



Density functional theory data (PBE-GGA) for a geometry-optimized Sr2TaCuRu structure.

CIF file:
```
data_Sr2TaCuRu
_cell_length_a 6.201
_cell_length_b 6.201
_cell_length_c 4.558
_cell_angle_alpha 90.00
_cell_angle_beta 90.00
_cell_angle_gamma 90.00
_space_group_name_H-M_alt 'P 4/m m m'
_space_group_IT_number 123
_space_group_name_Hall '-P 4 2'
loop_
_atom_site_label
_atom_site_type_symbol
_atom_site_fract_x
_atom_site_fract_y
_atom_site_fract_z
_atom_site_occupancy
Sr1 Sr 0.000 0.500 0.000 1
Ta1 Ta 0.000 0.000 0.000 1
Cu1 Cu 0.500 0.500 0.500 1
Ru1 Ru 0.000 0.000 0.500 1
```

N(E_F): 6.56 states/eV/f.u.
electronic total energy: -4.608 eV per atom
magnetization: 0.00 μB/cell
DFT formation energy: 1.110 eV per atom



Density functional theory data (PBE-GGA) for a geometry-optimized SrTlCu2Ru structure.

CIF file:
```
data_SrTlCu2Ru
_cell_length_a 5.377
_cell_length_b 5.377
_cell_length_c 5.021
_cell_angle_alpha 90.00
_cell_angle_beta 90.00
_cell_angle_gamma 90.00
_space_group_name_H-M_alt 'P 4/m m m'
_space_group_IT_number 123
_space_group_name_Hall '-P 4 2'
loop_
_atom_site_label
_atom_site_type_symbol
_atom_site_fract_x
_atom_site_fract_y
_atom_site_fract_z
_atom_site_occupancy
Sr1 Sr 0.000 0.000 0.000 1
Tl1 Tl 0.500 0.500 0.500 1
Cu1 Cu 0.000 0.500 0.000 1
Ru1 Ru 0.000 0.000 0.500 1
```

N(E_F): 2.17 states/eV/f.u.
electronic total energy: -2.751 eV per atom
magnetization: 1.12 μB/cell
DFT formation energy: 1.553 eV per atom



Density functional theory data (PBE-GGA) for a geometry-optimized Sr2Zn6CuRu structure.

CIF file:
```
data_Sr2Zn6CuRu
_cell_length_a 6.462
_cell_length_b 6.475
_cell_length_c 6.916
_cell_angle_alpha 62.95
_cell_angle_beta 62.78
_cell_angle_gamma 60.61
_space_group_name_H-M_alt 'P -1'
_space_group_IT_number 2
loop_
_space_group_symop_operation_xyz
'x,y,z'
'-x,-y,-z'
loop_
_atom_site_label
_atom_site_type_symbol
_atom_site_fract_x
_atom_site_fract_y
_atom_site_fract_z
_atom_site_occupancy
Sr1 Sr 0.210 0.208 0.369 1
Zn1 Zn 0.248 0.253 0.818 1
Zn2 Zn 0.254 0.680 0.821 1
Zn3 Zn 0.319 0.744 0.180 1
Cu1 Cu 0.000 0.000 0.000 1
Ru1 Ru 0.500 0.500 0.500 1
```

N(E_F): 4.80 states/eV/f.u.
electronic total energy: -2.592 eV per atom
magnetization: 0.00 μB/cell
DFT formation energy: -0.154 eV per atom



Density functional theory data (PBE-GGA) for a geometry-optimized SrZn2CuRu structure.

CIF file:
```
data_SrZn2CuRu
_cell_length_a 5.539
_cell_length_b 5.539
_cell_length_c 5.165
_cell_angle_alpha 90.00
_cell_angle_beta 90.00
_cell_angle_gamma 90.00
_space_group_name_H-M_alt 'P 4/m m m'
_space_group_IT_number 123
_space_group_name_Hall '-P 4 2'
loop_
_atom_site_label
_atom_site_type_symbol
_atom_site_fract_x
_atom_site_fract_y
_atom_site_fract_z
_atom_site_occupancy
Sr1 Sr 0.000 0.000 0.000 1
Zn1 Zn 0.000 0.500 0.000 1
Cu1 Cu 0.000 0.000 0.500 1
Ru1 Ru 0.500 0.500 0.500 1
```

N(E_F): 3.10 states/eV/f.u.
electronic total energy: -1.719 eV per atom
magnetization: 2.73 μB/cell
DFT formation energy: 1.801 eV per atom



Density functional theory data (PBE-GGA) for a geometry-optimized TaCu2Ru structure.

CIF file:
```
data_TaCu2Ru
_cell_length_a 5.105
_cell_length_b 7.715
_cell_length_c 2.859
_cell_angle_alpha 90.00
_cell_angle_beta 90.00
_cell_angle_gamma 90.00
_space_group_name_H-M_alt 'C m m m'
_space_group_IT_number 65
_space_group_name_Hall '-C 2 2'
loop_
_atom_site_label
_atom_site_type_symbol
_atom_site_fract_x
_atom_site_fract_y
_atom_site_fract_z
_atom_site_occupancy
Ta1 Ta 0.000 0.000 0.000 1
Cu1 Cu 0.250 0.250 0.500 1
Ru1 Ru 0.000 0.500 0.000 1
```

relative energy among the computed polymorphs: 0.825 eV/f.u.
N(E_F): 2.36 states/eV/f.u.
electronic total energy: -7.224 eV per atom
magnetization: 0.00 μB/cell
DFT formation energy: 0.107 eV per atom



Density functional theory data (PBE-GGA) for a geometry-optimized TaCu2Ru structure.

CIF file:
```
data_TaCu2Ru
_cell_length_a 6.063
_cell_length_b 6.063
_cell_length_c 6.063
_cell_angle_alpha 90.00
_cell_angle_beta 90.00
_cell_angle_gamma 90.00
_space_group_name_H-M_alt 'F m -3 m'
_space_group_IT_number 225
_space_group_name_Hall '-F 4 2 3'
loop_
_atom_site_label
_atom_site_type_symbol
_atom_site_fract_x
_atom_site_fract_y
_atom_site_fract_z
_atom_site_occupancy
Ta1 Ta 0.000 0.000 0.000 1
Cu1 Cu 0.250 0.250 0.250 1
Ru1 Ru 0.000 0.000 0.500 1
```

relative energy among the computed polymorphs: 1.147 eV/f.u.
N(E_F): 5.32 states/eV/f.u.
electronic total energy: -7.143 eV per atom
magnetization: 0.00 μB/cell
DFT formation energy: 0.187 eV per atom



Density functional theory data (PBE-GGA) for a geometry-optimized TaCu2Ru structure.

CIF file:
```
data_TaCu2Ru
_cell_length_a 2.7207
_cell_length_b 2.7207
_cell_length_c 26.8755
_cell_angle_alpha 90.00
_cell_angle_beta 90.00
_cell_angle_gamma 120.00
_space_group_name_H-M_alt 'R -3 m'
_space_group_IT_number 166
_space_group_name_Hall '-R 3 2"'
loop_
_atom_site_label
_atom_site_type_symbol
_atom_site_fract_x
_atom_site_fract_y
_atom_site_fract_z
_atom_site_occupancy
Ta1 Ta 0.0000 0.0000 0.0000 1
Cu1 Cu 0.0000 0.0000 0.2467 1
Ru1 Ru 0.0000 0.0000 0.5000 1
```

relative energy among the computed polymorphs: 1.534 eV/f.u.
N(E_F): 4.18 states/eV/f.u.
electronic total energy: -7.046 eV per atom
magnetization: 0.74 μB/cell
DFT formation energy: 0.284 eV per atom



Density functional theory data (PBE-GGA) for a geometry-optimized TaCu4Ru structure.

CIF file:
```
data_TaCu4Ru
_cell_length_a 6.772
_cell_length_b 6.772
_cell_length_c 6.772
_cell_angle_alpha 90.00
_cell_angle_beta 90.00
_cell_angle_gamma 90.00
_space_group_name_H-M_alt 'F -4 3 m'
_space_group_IT_number 216
_space_group_name_Hall 'F -4 2 3'
loop_
_atom_site_label
_atom_site_type_symbol
_atom_site_fract_x
_atom_site_fract_y
_atom_site_fract_z
_atom_site_occupancy
Ta1 Ta 0.000 0.000 0.000 1
Cu1 Cu 0.125 0.125 0.625 1
Ru1 Ru 0.250 0.250 0.250 1
```

N(E_F): 4.42 states/eV/f.u.
electronic total energy: -6.262 eV per atom
magnetization: 0.00 μB/cell
DFT formation energy: -0.010 eV per atom



Density functional theory data (PBE-GGA) for a geometry-optimized TaCu3Ru structure.

CIF file:
```
data_TaCu3Ru
_cell_length_a 4.460
_cell_length_b 4.460
_cell_length_c 4.460
_cell_angle_alpha 90.00
_cell_angle_beta 90.00
_cell_angle_gamma 90.00
_space_group_name_H-M_alt 'P m -3 m'
_space_group_IT_number 221
_space_group_name_Hall '-P 4 2 3'
loop_
_atom_site_label
_atom_site_type_symbol
_atom_site_fract_x
_atom_site_fract_y
_atom_site_fract_z
_atom_site_occupancy
Ta1 Ta 0.000 0.000 0.000 1
Cu1 Cu 0.000 0.500 0.500 1
Ru1 Ru 0.500 0.500 0.500 1
```

relative energy among the computed polymorphs: 0.000 eV/f.u.
N(E_F): 5.85 states/eV/f.u.
electronic total energy: -5.140 eV per atom
magnetization: 0.00 μB/cell
DFT formation energy: 1.543 eV per atom



Density functional theory data (PBE-GGA) for a geometry-optimized TaCu2Ru structure.

CIF file:
```
data_TaCu2Ru
_cell_length_a 2.767
_cell_length_b 2.767
_cell_length_c 7.365
_cell_angle_alpha 90.00
_cell_angle_beta 90.00
_cell_angle_gamma 90.00
_space_group_name_H-M_alt 'P 4/m m m'
_space_group_IT_number 123
_space_group_name_Hall '-P 4 2'
loop_
_atom_site_label
_atom_site_type_symbol
_atom_site_fract_x
_atom_site_fract_y
_atom_site_fract_z
_atom_site_occupancy
Ta1 Ta 0.000 0.000 0.000 1
Cu1 Cu 0.500 0.500 0.262 1
Ru1 Ru 0.000 0.000 0.500 1
```

relative energy among the computed polymorphs: 1.357 eV/f.u.
N(E_F): 3.62 states/eV/f.u.
electronic total energy: -7.090 eV per atom
magnetization: 0.62 μB/cell
DFT formation energy: 0.240 eV per atom